i) 20
Lattice="7.2789 -0.5322 -0.3933 1.2733 5.9482 -2.3234 1.2733 -0.4759 6.3681" Properties=species:S:1:pos:R:3 comment="RbBH3 PBE optimized geometry" mass_density_g_cm3=2.38 spacegroup="No. 15" dos_ef_per_ev_atom=0.000 pbc="T T T"
Rb 6.7325 3.3701 0.3296
Rb 3.0930 5.3890 -1.8452
Rb 3.0930 1.5700 3.3218
Rb 6.7325 -0.4489 5.4965
H 7.9694 2.7498 2.6951
H 5.4956 1.2907 1.6167
H 4.3299 3.6494 2.0347
H 3.3964 2.0310 -0.3133
H 6.4291 2.9091 3.9647
H 4.2629 4.8207 0.4771
H 5.5626 0.1194 3.1743
H 1.8562 2.1903 0.9563
H 7.9024 1.6044 4.2719
H 7.0359 0.0303 1.8369
H 2.7897 4.9099 1.8145
H 1.9232 3.3357 -0.6205
B 3.5295 4.1051 1.1958
B 6.2960 0.8351 2.4556
B 2.6566 2.8586 0.2745
B 7.1690 2.0815 3.3769


ii) 5
Lattice="-1.5892 3.2378 -0.1824 -1.4288 -0.8814 -3.1975 -2.9113 -1.3349 1.6688" Properties=species:S:1:pos:R:3 comment="RbBH3 PBE optimized geometry" mass_density_g_cm3=3.50 spacegroup="No. 221" dos_ef_per_ev_atom=0.144 pbc="T T T"
B 0.0000 0.0000 0.0000
H -0.7946 1.6189 -0.0912
H -0.7144 -0.4407 -1.5988
H -1.4556 -0.6674 0.8344
Rb -2.9646 0.5108 -0.8556


Top of the stability list: i), leading by 0.896 eV/atom.


i) 5
Lattice="-4.0161 0.9135 0.2827 0.1256 -0.7061 4.0656 0.9480 3.9637 0.6591" Properties=species:S:1:pos:R:3 comment="ReB3H PBE optimized geometry" mass_density_g_cm3=5.18 spacegroup="No. 221" dos_ef_per_ev_atom=0.309 pbc="T T T"
Re 0.0000 0.0000 0.0000
B 0.0628 -0.3531 2.0328
B 0.4740 1.9818 0.3296
B -2.0081 0.4568 0.1414
H -1.4713 2.0855 2.5037


ii) 5
Lattice="-0.7692 1.9012 2.6073 -1.7735 -2.4883 1.2912 2.6958 -1.0945 1.5934" Properties=species:S:1:pos:R:3 comment="ReB3H PBE optimized geometry" mass_density_g_cm3=9.99 spacegroup="No. 221" dos_ef_per_ev_atom=0.423 pbc="T T T"
H 0.0000 0.0000 0.0000
B 1.3479 -0.5473 0.7967
B -0.8868 -1.2442 0.6456
B -0.3846 0.9506 1.3037
Re 0.0765 -0.8408 2.7460


Top of the stability list: ii), leading by 0.439 eV/atom.


i) 10
Lattice="-2.1141 1.8073 -0.0150 -0.5264 -0.6666 -6.1209 -3.7702 -4.3903 2.3991" Properties=species:S:1:pos:R:3 comment="BHRh3 PBE optimized geometry" mass_density_g_cm3=10.22 spacegroup="No. 11" dos_ef_per_ev_atom=0.932 pbc="T T T"
B -4.7464 -2.3618 -2.4025
B -1.6643 -0.8878 -1.3343
H -2.2579 -1.6067 -4.2889
H -4.1528 -1.6429 0.5521
Rh -2.8174 -0.0825 0.3454
Rh -3.5933 -3.1671 -4.0822
Rh -3.2463 -0.6106 -2.8395
Rh -3.1644 -2.6390 -0.8973
Rh -0.9918 -0.1268 -4.4276
Rh -5.4189 -3.1228 0.6908


ii) 5
Lattice="-0.2154 -1.3574 3.5160 2.3195 -2.8235 -0.9480 2.9706 2.1062 0.9952" Properties=species:S:1:pos:R:3 comment="BHRh3 PBE optimized geometry" mass_density_g_cm3=9.89 spacegroup="No. 221" dos_ef_per_ev_atom=1.240 pbc="T T T"
Rh 1.4853 1.0531 0.4976
Rh 1.1598 -1.4118 -0.4740
Rh -0.1077 -0.6787 1.7580
B 2.5374 -1.0374 1.7816
H 0.0000 0.0000 0.0000


iii) 10
Lattice="2.8675 0.0000 0.0000 0.0000 5.4905 -0.4524 0.0000 0.5130 6.7648" Properties=species:S:1:pos:R:3 comment="BHRh3 PBE optimized geometry" mass_density_g_cm3=9.93 spacegroup="No. 11" dos_ef_per_ev_atom=0.987 pbc="T T T"
B 2.1506 4.3367 2.5515
B 0.7169 1.6668 3.7609
Rh 2.1506 3.0988 4.3465
Rh 0.7169 0.1894 2.1768
Rh 2.1506 4.0609 -0.1579
Rh 0.7169 1.9426 6.4703
Rh 0.7169 2.9047 1.9658
Rh 2.1506 5.8141 4.1356
H 2.1506 0.9273 0.6816
H 0.7169 5.0762 5.6308


Top of the stability list: i), leading by 0.013 eV/atom.


i) 4
Lattice="2.1868 1.1409 2.2702 -0.9780 2.2458 2.2886 -0.2966 -0.9031 3.2146" Properties=species:S:1:pos:R:3 comment="BH2Rh PBE optimized geometry" mass_density_g_cm3=7.21 spacegroup="No. 225" dos_ef_per_ev_atom=0.303 pbc="T T T"
H 0.2280 0.6209 1.9433
H 0.6841 1.8626 5.8300
Rh 0.4561 1.2418 3.8867
B 0.0000 0.0000 0.0000


ii) 8
Lattice="3.0154 0.0000 0.0000 0.0000 3.0154 0.0000 1.5077 1.5077 7.1163" Properties=species:S:1:pos:R:3 comment="BH2Rh PBE optimized geometry" mass_density_g_cm3=5.94 spacegroup="No. 141" dos_ef_per_ev_atom=0.525 pbc="T T T"
H 3.0186 2.2615 1.7791
H 3.7692 1.5045 5.3373
H 2.2615 1.5109 5.3373
H 3.0122 0.7538 1.7791
Rh 0.0000 0.0000 0.0000
Rh 3.0154 1.5077 3.5582
B 1.5077 1.5077 0.0000
B 1.5077 3.0154 3.5582


Top of the stability list: ii), leading by 0.435 eV/atom.


i) 8
Lattice="2.9716 0.0000 0.0000 0.0000 2.9716 0.0000 1.4858 1.4858 7.1926" Properties=species:S:1:pos:R:3 comment="BH2Ru PBE optimized geometry" mass_density_g_cm3=5.96 spacegroup="No. 141" dos_ef_per_ev_atom=0.121 pbc="T T T"
Ru 0.0000 0.0000 0.0000
Ru 2.9716 1.4858 3.5963
H 2.9751 0.7429 1.7982
H 2.2287 1.4822 5.3945
H 2.9680 2.2287 1.7982
H 3.7145 1.4894 5.3945
B 1.4858 2.9716 3.5963
B 1.4858 1.4858 0.0000


ii) 4
Lattice="0.0000 2.3514 2.3514 2.3514 0.0000 2.3514 2.3514 2.3514 0.0000" Properties=species:S:1:pos:R:3 comment="BH2Ru PBE optimized geometry" mass_density_g_cm3=7.27 spacegroup="No. 225" dos_ef_per_ev_atom=0.459 pbc="T T T"
H 3.5271 3.5271 3.5271
H 1.1757 1.1757 1.1757
B 0.0000 0.0000 0.0000
Ru 2.3514 2.3514 2.3514


Top of the stability list: i), leading by 0.394 eV/atom.


i) 5
Lattice="-4.0952 -0.0516 -0.7506 0.6279 -2.5223 -3.2528 -0.4144 -3.3125 2.4885" Properties=species:S:1:pos:R:3 comment="BHS3 PBE optimized geometry" mass_density_g_cm3=2.48 spacegroup="No. 221" dos_ef_per_ev_atom=0.828 pbc="T T T"
S -0.2072 -1.6562 1.2443
S -2.0476 -0.0258 -0.3753
S 0.3140 -1.2611 -1.6264
B 0.0000 0.0000 0.0000
H -1.9408 -2.9432 -0.7574


ii) 20
Lattice="-10.1184 8.3126 4.4061 -11.4889 0.7746 1.3842 -9.8167 0.2733 6.1699" Properties=species:S:1:pos:R:3 comment="BHS3 PBE optimized geometry" mass_density_g_cm3=1.59 spacegroup="No. 15" dos_ef_per_ev_atom=0.000 pbc="T T T"
S -27.6303 6.7313 10.3404
S -8.8476 1.2955 3.0392
S -22.5764 8.0651 8.9210
S -13.7909 5.4170 5.5739
S -17.6347 8.0794 6.9964
S -18.8556 5.4397 7.1465
S -8.8645 6.7890 3.7897
S -22.5595 2.5716 8.1705
S -17.6331 3.9436 6.3862
S -12.5684 3.9209 4.8137
S -3.7937 2.6292 1.6197
S -13.7893 1.2812 4.9638
H -17.9894 3.0535 7.3698
H -13.4347 6.3071 4.5904
H -7.9040 2.0095 3.7366
H -23.5200 7.3511 8.2236
B -12.7203 2.4636 6.2010
B -13.6329 2.7372 3.5891
B -18.7037 6.8970 5.7591
B -17.7911 6.6234 8.3710


Top of the stability list: ii), leading by 1.439 eV/atom.


i) 5
Lattice="3.2106 0.0000 0.0000 0.0000 3.2106 0.0000 0.0000 0.0000 3.2106" Properties=species:S:1:pos:R:3 comment="BH3S PBE optimized geometry" mass_density_g_cm3=2.30 spacegroup="No. 221" dos_ef_per_ev_atom=0.371 pbc="T T T"
H 0.0000 0.0000 1.6053
H 0.0000 1.6053 0.0000
H 1.6053 0.0000 0.0000
B 0.0000 0.0000 0.0000
S 1.6053 1.6053 1.6053


ii) 10
Lattice="5.0074 0.0065 -0.0183 0.0162 7.8425 -0.1262 0.0121 0.0478 3.0641" Properties=species:S:1:pos:R:3 comment="BH3S PBE optimized geometry" mass_density_g_cm3=1.27 spacegroup="No. 1" dos_ef_per_ev_atom=0.000 pbc="T T T"
B 0.0383 5.7023 0.8958
B 2.5202 1.4019 0.9644
H 4.4676 0.8200 2.4981
H 4.1372 4.9167 0.8936
H 1.9839 6.3392 2.4110
H 2.2083 0.2366 0.9840
H 4.7291 6.8727 0.8603
H 1.6084 2.1905 0.9559
S 3.6221 1.8814 2.4850
S 1.1417 5.2753 2.4307


Top of the stability list: ii), leading by 1.401 eV/atom.


i) 8
Lattice="-0.8364 2.1154 2.0575 1.9408 -7.4637 1.9987 4.4748 1.2943 0.4882" Properties=species:S:1:pos:R:3 comment="BH2S PBE optimized geometry" mass_density_g_cm3=1.55 spacegroup="No. 11" dos_ef_per_ev_atom=0.000 pbc="T T T"
H 1.4270 -4.9521 1.4949
H 2.2027 0.3342 2.8369
H 3.3765 -4.3882 1.7076
H 4.1523 0.8981 3.0496
B 3.1055 1.0407 2.4782
B 2.4738 -5.0947 2.0663
S 2.1910 -4.8354 3.9708
S 3.3883 0.7814 0.5737


ii) 4
Lattice="0.0000 2.3805 2.3805 2.3805 0.0000 2.3805 2.3805 2.3805 0.0000" Properties=species:S:1:pos:R:3 comment="BH2S PBE optimized geometry" mass_density_g_cm3=2.76 spacegroup="No. 225" dos_ef_per_ev_atom=0.509 pbc="T T T"
H 1.1903 1.1903 1.1903
H 3.5708 3.5708 3.5708
B 0.0000 0.0000 0.0000
S 2.3805 2.3805 2.3805


Top of the stability list: i), leading by 1.607 eV/atom.